## MgTcGe (PBE-GGA)

Data for an optimized crystal structure of MgTcGe.

The volume is 53.46 Å³/f.u. The value obtained for the energy relative to the elements is 0.100 eV/atom. As for the offset from the most stable computed form: 262 meV per atom.

The space group is Amm2 (No. 38) and the conventional cell measures 3.264, 2.732 and 11.987 Å, with angles of 90.00, 90.00 and 90.00 degrees. The distinct sites, in fractional coordinates, are Mg at (0.000, 0.000, 0.000), Tc at (0.500, 0.000, 0.340) and Ge at (0.000, 0.000, 0.711).